# Ho3Mg2Hg2, optimized geometry, DFT PBE
data_Ho3Mg2Hg2
_space_group_name_H-M_alt 'C m m m'
_space_group_IT_number 65
_space_group_name_Hall '-C 2 2'
_cell_length_a 4.583
_cell_length_b 23.002
_cell_length_c 3.381
_cell_angle_alpha 90.00
_cell_angle_beta 90.00
_cell_angle_gamma 90.00
loop_
_atom_site_label
_atom_site_type_symbol
_atom_site_fract_x
_atom_site_fract_y
_atom_site_fract_z
_atom_site_occupancy
Ho1 Ho 0.000 0.000 0.000 1
Ho2 Ho 0.000 0.145 0.000 1
Mg1 Mg 0.000 0.284 0.500 1
Hg1 Hg 0.000 0.422 0.500 1
# DFT formation energy in kJ/mol of formula units: -132
# Crystal system: orthorhombic
# Electronic total energy in Ha/atom: -0.099